A relaxed structure of PmAg2Cl6. Source: the Alexandria database, functional GGA-PBE.

Results
- DOS at the Fermi energy (states/eV/atom) = 0.461
- crystal system = monoclinic
- E (eV per atom) = -3.564
- theoretical density (g/cm3) = 3.649

Lattice parameters (Å, degrees): 7.538 7.538 7.494 104.19 104.19 39.40
Sites, in units of the cell vectors:
Pm  0.000  0.000  0.000
Ag  0.319  0.319  0.220
Ag  0.681  0.681  0.780
Cl  0.160  0.160  0.297
Cl  0.160  0.160  0.820
Cl  0.492  0.492  0.207
Cl  0.508  0.508  0.793
Cl  0.840  0.840  0.180
Cl  0.840  0.840  0.703

A relaxed structure of PmAg3Cl6. Source: the Alexandria database, functional GGA-PBE.

Results
- DOS at the Fermi energy (states/eV/atom) = 0.000
- crystal system = monoclinic
- E (eV per atom) = -3.582
- theoretical density (g/cm3) = 4.323

Lattice parameters (Å, degrees): 7.024 6.945 12.676 90.00 122.17 90.00
Sites, in units of the cell vectors:
Pm  0.000  0.000  0.000
Pm  0.000  0.500  0.500
Ag  0.273  0.030  0.759
Ag  0.273  0.470  0.259
Ag  0.500  0.000  0.500
Ag  0.500  0.500  0.000
Ag  0.727  0.530  0.741
Ag  0.727  0.970  0.241
Cl  0.071  0.171  0.411
Cl  0.071  0.329  0.911
Cl  0.281  0.674  0.441
Cl  0.281  0.826  0.941
Cl  0.354  0.110  0.233
Cl  0.354  0.390  0.733
Cl  0.646  0.610  0.267
Cl  0.646  0.890  0.767
Cl  0.719  0.174  0.059
Cl  0.719  0.326  0.559
Cl  0.929  0.671  0.089
Cl  0.929  0.829  0.589

A relaxed structure of Pm3Ag5Cl12. Source: the Alexandria database, functional GGA-PBE.

Results
- DOS at the Fermi energy (states/eV/atom) = 0.523
- crystal system = cubic
- E (eV per atom) = -3.697
- theoretical density (g/cm3) = 4.425

Lattice parameters (Å, degrees): 13.975 13.975 13.975 109.47 109.47 109.47
Sites, in units of the cell vectors:
Pm  0.125  0.250  0.375
Pm  0.125  0.375  0.750
Pm  0.250  0.375  0.125
Pm  0.250  0.875  0.625
Pm  0.375  0.125  0.250
Pm  0.375  0.750  0.125
Pm  0.625  0.250  0.875
Pm  0.625  0.875  0.750
Pm  0.750  0.125  0.375
Pm  0.750  0.625  0.875
Pm  0.875  0.625  0.250
Pm  0.875  0.750  0.625
Ag  0.000  0.000  0.000
Ag  0.000  0.000  0.500
Ag  0.000  0.500  0.000
Ag  0.000  0.500  0.500
Ag  0.125  0.750  0.875
Ag  0.125  0.875  0.250
Ag  0.250  0.125  0.875
Ag  0.250  0.625  0.375
Ag  0.375  0.250  0.625
Ag  0.375  0.625  0.750
Ag  0.500  0.000  0.000
Ag  0.500  0.000  0.500
Ag  0.500  0.500  0.000
Ag  0.500  0.500  0.500
Ag  0.625  0.375  0.250
Ag  0.625  0.750  0.375
Ag  0.750  0.375  0.625
Ag  0.750  0.875  0.125
Ag  0.875  0.125  0.750
Ag  0.875  0.250  0.125
Cl  0.050  0.225  0.133
Cl  0.050  0.325  0.917
Cl  0.083  0.633  0.408
Cl  0.083  0.950  0.675
Cl  0.092  0.725  0.675
Cl  0.092  0.867  0.417
Cl  0.133  0.050  0.225
Cl  0.133  0.583  0.908
Cl  0.175  0.225  0.592
Cl  0.175  0.450  0.583
Cl  0.225  0.133  0.050
Cl  0.225  0.592  0.175
Cl  0.275  0.325  0.908
Cl  0.275  0.450  0.367
Cl  0.325  0.908  0.275
Cl  0.325  0.917  0.050
Cl  0.367  0.275  0.450
Cl  0.367  0.592  0.917
Cl  0.408  0.083  0.633
Cl  0.408  0.825  0.775
Cl  0.417  0.092  0.867
Cl  0.417  0.825  0.550
Cl  0.450  0.367  0.275
Cl  0.450  0.583  0.175
Cl  0.550  0.417  0.825
Cl  0.550  0.633  0.725
Cl  0.583  0.175  0.450
Cl  0.583  0.908  0.133
Cl  0.592  0.175  0.225
Cl  0.592  0.917  0.367
Cl  0.633  0.408  0.083
Cl  0.633  0.725  0.550
Cl  0.675  0.083  0.950
Cl  0.675  0.092  0.725
Cl  0.725  0.550  0.633
Cl  0.725  0.675  0.092
Cl  0.775  0.408  0.825
Cl  0.775  0.867  0.950
Cl  0.825  0.550  0.417
Cl  0.825  0.775  0.408
Cl  0.867  0.417  0.092
Cl  0.867  0.950  0.775
Cl  0.908  0.133  0.583
Cl  0.908  0.275  0.325
Cl  0.917  0.050  0.325
Cl  0.917  0.367  0.592
Cl  0.950  0.675  0.083
Cl  0.950  0.775  0.867

A relaxed structure of Pm2AgCl. Source: the Alexandria database, functional GGA-PBE.

Results
- DOS at the Fermi energy (states/eV/atom) = 0.970
- crystal system = tetragonal
- E (eV per atom) = -4.229
- theoretical density (g/cm3) = 7.227

Lattice parameters (Å, degrees): 3.469 3.469 8.272 90.00 90.00 90.00
Sites, in units of the cell vectors:
Pm  0.000  0.000  0.241
Pm  0.000  0.000  0.759
Ag  0.500  0.500  0.000
Cl  0.500  0.500  0.500

A relaxed structure of PmAgCl6. Source: the Alexandria database, functional GGA-PBE.

Results
- crystal system = triclinic
- E (eV per atom) = -3.468
- theoretical density (g/cm3) = 3.202

Lattice parameters (Å, degrees): 6.002 6.891 7.042 117.11 91.03 108.41
Sites, in units of the cell vectors:
Pm  0.000  0.000  0.000
Ag  0.500  0.000  0.500
Cl  0.051  0.445  0.223
Cl  0.287  0.193  0.405
Cl  0.414  0.168  0.857
Cl  0.586  0.832  0.143
Cl  0.713  0.807  0.595
Cl  0.949  0.555  0.777

A relaxed structure of RbPmAg2Cl8. Source: the Alexandria database, functional GGA-PBE.

Results
- DOS at the Fermi energy (states/eV/atom) = 1.165
- crystal system = tetragonal
- E (eV per atom) = -3.356
- theoretical density (g/cm3) = 3.476

Lattice parameters (Å, degrees): 8.884 8.884 8.884 134.72 134.72 65.96
Sites, in units of the cell vectors:
Rb  0.000  0.000  0.000
Pm  0.250  0.750  0.500
Ag  0.500  0.500  0.000
Ag  0.750  0.250  0.500
Cl  0.280  0.695  0.160
Cl  0.305  0.466  0.586
Cl  0.401  0.021  0.039
Cl  0.534  0.120  0.840
Cl  0.639  0.599  0.620
Cl  0.880  0.720  0.414
Cl  0.979  0.018  0.380
Cl  0.982  0.361  0.961

A relaxed structure of Rb2PmAgCl6. Source: the Alexandria database, functional GGA-PBE.

Results
- DOS at the Fermi energy (states/eV/atom) = 0.000
- crystal system = monoclinic
- E (eV per atom) = -3.876
- theoretical density (g/cm3) = 3.367

Lattice parameters (Å, degrees): 7.578 7.820 12.982 90.00 125.29 90.00
Sites, in units of the cell vectors:
Rb  0.234  0.058  0.249
Rb  0.234  0.442  0.749
Rb  0.766  0.558  0.251
Rb  0.766  0.942  0.751
Pm  0.500  0.000  0.000
Pm  0.500  0.500  0.500
Ag  0.000  0.000  0.500
Ag  0.000  0.500  0.000
Cl  0.171  0.200  0.959
Cl  0.171  0.300  0.459
Cl  0.262  0.714  0.960
Cl  0.262  0.786  0.460
Cl  0.327  0.018  0.749
Cl  0.327  0.482  0.249
Cl  0.673  0.518  0.751
Cl  0.673  0.982  0.251
Cl  0.738  0.214  0.540
Cl  0.738  0.286  0.040
Cl  0.829  0.700  0.541
Cl  0.829  0.800  0.041

A relaxed structure of RbPmAgCl5. Source: the Alexandria database, functional GGA-PBE.

Results
- DOS at the Fermi energy (states/eV/atom) = 0.000
- crystal system = monoclinic
- E (eV per atom) = -3.984
- theoretical density (g/cm3) = 3.110

Lattice parameters (Å, degrees): 7.775 7.775 10.364 102.40 102.40 108.97
Sites, in units of the cell vectors:
Rb  0.157  0.843  0.750
Rb  0.843  0.157  0.250
Pm  0.500  0.500  0.000
Pm  0.500  0.500  0.500
Ag  0.187  0.813  0.250
Ag  0.813  0.187  0.750
Cl  0.134  0.248  0.934
Cl  0.197  0.592  0.404
Cl  0.248  0.134  0.434
Cl  0.408  0.803  0.096
Cl  0.426  0.574  0.750
Cl  0.574  0.426  0.250
Cl  0.592  0.197  0.904
Cl  0.752  0.866  0.566
Cl  0.803  0.408  0.596
Cl  0.866  0.752  0.066

Number 1: total magnetization 0.00 μB per formula unit. Number 2: total magnetization 0.00 μB per formula unit. Number 3: total magnetization 1.84 μB per formula unit. Number 4: total magnetization 0.00 μB per formula unit. Number 5: total magnetization 0.00 μB per formula unit. Number 6: total magnetization 0.00 μB per formula unit. Number 7: total magnetization 0.00 μB per formula unit. Number 8: total magnetization 0.00 μB per formula unit.